(1)
The following is a DFT calculation (PBE) of PmCd2Br6 after structural relaxation.

Computed properties:
Formation energy from raw total energies: -1.116 eV per atom

Lattice parameters (Å, degrees): 8.324 8.324 8.324 54.28 54.28 54.28
Positions (direct):
Pm 0.000 0.000 0.000
Cd 0.601 0.601 0.601
Cd 0.735 0.735 0.735
Br 0.087 0.781 0.385
Br 0.214 0.618 0.908
Br 0.385 0.087 0.781
Br 0.618 0.908 0.214
Br 0.781 0.385 0.087
Br 0.908 0.214 0.618



(2)
The following is a DFT calculation (PBE) of Pm2CdBr after structural relaxation.

Computed properties:
Formation energy from raw total energies: -0.627 eV per atom
E above lowest polymorph: 25 meV per atom

Lattice parameters (Å, degrees): 3.547 3.547 8.667 90.00 90.00 90.00
Positions (direct):
Pm 0.000 0.000 0.245
Pm 0.000 0.000 0.755
Cd 0.500 0.500 0.000
Br 0.500 0.500 0.500



(3)
The following is a DFT calculation (PBE) of Rb2PmCdBr6 after structural relaxation.

Computed properties:
Formation energy from raw total energies: -1.479 eV per atom

Lattice parameters (Å, degrees): 8.437 11.781 8.263 90.00 90.00 90.00
Positions (direct):
Rb 0.250 0.033 0.217
Rb 0.250 0.467 0.217
Rb 0.750 0.533 0.783
Rb 0.750 0.967 0.783
Pm 0.250 0.250 0.737
Pm 0.750 0.750 0.263
Cd 0.250 0.750 0.755
Cd 0.750 0.250 0.245
Br 0.008 0.250 0.983
Br 0.021 0.250 0.481
Br 0.250 0.007 0.763
Br 0.250 0.493 0.763
Br 0.479 0.250 0.481
Br 0.492 0.250 0.983
Br 0.508 0.750 0.017
Br 0.521 0.750 0.519
Br 0.750 0.507 0.237
Br 0.750 0.993 0.237
Br 0.979 0.750 0.519
Br 0.992 0.750 0.017



What did the third record say?
The following is a DFT calculation (PBE) of Rb2PmCdBr6 after structural relaxation.

Computed properties:
Formation energy from raw total energies: -1.479 eV per atom

Lattice parameters (Å, degrees): 8.437 11.781 8.263 90.00 90.00 90.00
Positions (direct):
Rb 0.250 0.033 0.217
Rb 0.250 0.467 0.217
Rb 0.750 0.533 0.783
Rb 0.750 0.967 0.783
Pm 0.250 0.250 0.737
Pm 0.750 0.750 0.263
Cd 0.250 0.750 0.755
Cd 0.750 0.250 0.245
Br 0.008 0.250 0.983
Br 0.021 0.250 0.481
Br 0.250 0.007 0.763
Br 0.250 0.493 0.763
Br 0.479 0.250 0.481
Br 0.492 0.250 0.983
Br 0.508 0.750 0.017
Br 0.521 0.750 0.519
Br 0.750 0.507 0.237
Br 0.750 0.993 0.237
Br 0.979 0.750 0.519
Br 0.992 0.750 0.017



Which formula does entry 3 have? Rb2PmCdBr6



Among the records above, which one has the highest formation energy from raw total energies? Pm2CdBr



The highest formation energy from raw total energies belongs to which entry? Pm2CdBr